Record 1
Li5La3Cl12 | GGA-PBE | optimized geometry

Unit cell a=13.4629 b=13.4629 c=13.4629 alpha=109.47 beta=109.47 gamma=109.47
Fractional positions:
1 Li 0.0000 0.0000 0.0000
2 Li 0.0000 0.0000 0.5000
3 Li 0.0000 0.5000 0.0000
4 Li 0.0000 0.5000 0.5000
5 Li 0.1250 0.7500 0.8750
6 Li 0.1250 0.8750 0.2500
7 Li 0.2500 0.1250 0.8750
8 Li 0.2500 0.6250 0.3750
9 Li 0.3750 0.2500 0.6250
10 Li 0.3750 0.6250 0.7500
11 Li 0.5000 0.0000 0.0000
12 Li 0.5000 0.0000 0.5000
13 Li 0.5000 0.5000 0.0000
14 Li 0.5000 0.5000 0.5000
15 Li 0.6250 0.3750 0.2500
16 Li 0.6250 0.7500 0.3750
17 Li 0.7500 0.3750 0.6250
18 Li 0.7500 0.8750 0.1250
19 Li 0.8750 0.1250 0.7500
20 Li 0.8750 0.2500 0.1250
21 La 0.1250 0.2500 0.3750
22 La 0.1250 0.3750 0.7500
23 La 0.2500 0.3750 0.1250
24 La 0.2500 0.8750 0.6250
25 La 0.3750 0.1250 0.2500
26 La 0.3750 0.7500 0.1250
27 La 0.6250 0.2500 0.8750
28 La 0.6250 0.8750 0.7500
29 La 0.7500 0.1250 0.3750
30 La 0.7500 0.6250 0.8750
31 La 0.8750 0.6250 0.2500
32 La 0.8750 0.7500 0.6250
33 Cl 0.0289 0.2111 0.1207
34 Cl 0.0289 0.3178 0.9082
35 Cl 0.0903 0.7111 0.6822
36 Cl 0.0903 0.8793 0.4082
37 Cl 0.0918 0.6207 0.4097
38 Cl 0.0918 0.9711 0.6822
39 Cl 0.1207 0.0289 0.2111
40 Cl 0.1207 0.5918 0.9097
41 Cl 0.1822 0.2111 0.5903
42 Cl 0.1822 0.4711 0.5918
43 Cl 0.2111 0.1207 0.0289
44 Cl 0.2111 0.5903 0.1822
45 Cl 0.2889 0.3178 0.9097
46 Cl 0.2889 0.4711 0.3793
47 Cl 0.3178 0.9082 0.0289
48 Cl 0.3178 0.9097 0.2889
49 Cl 0.3793 0.2889 0.4711
50 Cl 0.3793 0.5903 0.9082
51 Cl 0.4082 0.0903 0.8793
52 Cl 0.4082 0.8178 0.5289
53 Cl 0.4097 0.0918 0.6207
54 Cl 0.4097 0.8178 0.7889
55 Cl 0.4711 0.3793 0.2889
56 Cl 0.4711 0.5918 0.1822
57 Cl 0.5289 0.4082 0.8178
58 Cl 0.5289 0.6207 0.7111
59 Cl 0.5903 0.1822 0.2111
60 Cl 0.5903 0.9082 0.3793
61 Cl 0.5918 0.1822 0.4711
62 Cl 0.5918 0.9097 0.1207
63 Cl 0.6207 0.4097 0.0918
64 Cl 0.6207 0.7111 0.5289
65 Cl 0.6822 0.0903 0.7111
66 Cl 0.6822 0.0918 0.9711
67 Cl 0.7111 0.5289 0.6207
68 Cl 0.7111 0.6822 0.0903
69 Cl 0.7889 0.4097 0.8178
70 Cl 0.7889 0.8793 0.9711
71 Cl 0.8178 0.5289 0.4082
72 Cl 0.8178 0.7889 0.4097
73 Cl 0.8793 0.4082 0.0903
74 Cl 0.8793 0.9711 0.7889
75 Cl 0.9082 0.0289 0.3178
76 Cl 0.9082 0.3793 0.5903
77 Cl 0.9097 0.1207 0.5918
78 Cl 0.9097 0.2889 0.3178
79 Cl 0.9711 0.6822 0.0918
80 Cl 0.9711 0.7889 0.8793

Values from the calculation:
energy = -345.4 eV for the cell shown
space-group type = Ia-3d, No. 230

=====

Record 2
LiLaCl4 | GGA-PBE | optimized geometry

Unit cell a=5.9739 b=5.9739 c=5.9739 alpha=60.00 beta=60.00 gamma=60.00
Fractional positions:
1 Li 0.0000 0.0000 0.0000
2 La 0.2500 0.2500 0.2500
3 Cl 0.1241 0.6253 0.6253
4 Cl 0.6253 0.1241 0.6253
5 Cl 0.6253 0.6253 0.1241
6 Cl 0.6253 0.6253 0.6253

Values from the calculation:
energy = -18.4 eV for the cell shown
space-group type = F-43m, No. 216

=====

Record 3
Li2LaMgCl | GGA-PBE | optimized geometry

Unit cell a=5.0601 b=5.0601 c=5.1605 alpha=90.00 beta=90.00 gamma=90.00
Fractional positions:
1 Li 0.0000 0.5000 0.0000
2 Li 0.5000 0.0000 0.0000
3 La 0.0000 0.0000 0.5000
4 Mg 0.5000 0.5000 0.0000
5 Cl 0.5000 0.5000 0.5000

Values from the calculation:
energy = -12.4 eV for the cell shown
space-group type = P4/mmm, No. 123

=====

Record 4
Na2LiLaCl6 | GGA-PBE | optimized geometry

Unit cell a=7.4716 b=7.4716 c=7.4716 alpha=55.98 beta=55.98 gamma=55.98
Fractional positions:
1 Na 0.0000 0.0000 0.0000
2 Na 0.4990 0.4990 0.4990
3 Li 0.2043 0.2043 0.2043
4 La 0.7008 0.7008 0.7008
5 Cl 0.0922 0.8182 0.4126
6 Cl 0.3095 0.5769 0.9276
7 Cl 0.4126 0.0922 0.8182
8 Cl 0.5769 0.9276 0.3095
9 Cl 0.8182 0.4126 0.0922
10 Cl 0.9276 0.3095 0.5769

Values from the calculation:
energy = -40.7 eV for the cell shown
space-group type = R3, No. 146

=====

Record 5
Na2LiLaCl6 | GGA-PBE | optimized geometry

Unit cell a=7.4557 b=7.4557 c=7.4557 alpha=60.00 beta=60.00 gamma=60.00
Fractional positions:
1 Na 0.2500 0.2500 0.2500
2 Na 0.7500 0.7500 0.7500
3 Li 0.0000 0.0000 0.0000
4 La 0.5000 0.5000 0.5000
5 Cl 0.2396 0.2396 0.7604
6 Cl 0.2396 0.7604 0.2396
7 Cl 0.2396 0.7604 0.7604
8 Cl 0.7604 0.2396 0.2396
9 Cl 0.7604 0.2396 0.7604
10 Cl 0.7604 0.7604 0.2396

Values from the calculation:
energy = -39.3 eV for the cell shown
space-group type = Fm-3m, No. 225

=====

Record 6
Li2LaNpCl8 | GGA-PBE | optimized geometry

Unit cell a=6.4053 b=6.4057 c=8.5479 alpha=93.51 beta=93.53 gamma=91.50
Fractional positions:
1 Li 0.0428 0.0401 0.2140
2 Li 0.9572 0.9599 0.7860
3 La 0.5000 0.5000 0.0000
4 Np 0.5000 0.5000 0.5000
5 Cl 0.1888 0.1865 0.9820
6 Cl 0.2013 0.1989 0.4567
7 Cl 0.2975 0.6919 0.7473
8 Cl 0.3050 0.7000 0.2524
9 Cl 0.6950 0.3000 0.7476
10 Cl 0.7025 0.3081 0.2527
11 Cl 0.7987 0.8011 0.5433
12 Cl 0.8112 0.8135 0.0180

Values from the calculation:
energy = -59.5 eV for the cell shown
space-group type = P-1, No. 2

=====

| no. | formation energy from raw total energies (meV per atom) | size of the total moment (μB/cell) |
| --- | --- | --- |
| 1 | -1992 | 6.84 |
| 2 | -702 | 0.22 |
| 3 | -46 | 0.00 |
| 4 | -2014 | 0.00 |
| 5 | -1875 | 0.00 |
| 6 | -1923 | 4.00 |